## Tb3Y2 (PBE-GGA)

Data for a geometry-optimized Tb3Y2 structure.

Its total magnetization is 0.000 μB/atom. As for the calculated volume: 709.3 Å³/cell. Its final energy is -4.953 eV per atom.

The structure belongs to space group C2/m (No. 12); the cell edges are 6.744, 22.261 and 5.495 Å and the angles 90.00°, 120.70° and 90.00°. The asymmetric unit holds Tb at (0.177, 0.112, 0.339), Tb at (0.214, 0.000, 0.883), Y at (0.000, 0.370, 0.000) and Y at (0.250, 0.250, 0.000).